VSiRh2 after structural relaxation, computed with PBE.

Results
total moment	0.00	μB per formula unit
density of states at the Fermi level	2.0	states/eV per cell
crystal system	tetragonal
space group	P4/mmm
E_tot	-7.901	eV/atom

```
4
Lattice="-0.244 -2.018 1.923 1.660 -1.656 -1.527 5.457 2.457 3.270" Properties=species:S:1:pos:R:3 pbc="T T T"
Rh 1.198 0.540 0.718
V 3.437 -0.608 1.833
Si 0.708 -1.837 0.198
Rh 4.259 1.917 2.552
```

K2BiSb after structural relaxation, computed with PBE.

Results
total moment	0.00	μB per formula unit
density of states at the Fermi level	8.9	states/eV per cell
crystal system	tetragonal
space group	I-42d
relative energy among the computed polymorphs	0.96	eV/f.u.

```
8
Lattice="-6.060 5.623 5.598 0.741 -6.612 7.444 -0.182 1.052 7.649" Properties=species:S:1:pos:R:3 pbc="T T T"
K -3.644 2.861 6.252
Bi 0.000 0.000 0.000
Bi -4.451 3.090 9.884
K -4.803 0.029 17.029
Sb -1.050 -3.027 10.807
K -2.120 0.313 10.746
K -0.437 -3.077 7.354
Sb -2.659 -0.495 6.521
```

CaWAu4 after structural relaxation, computed with PBE.

Results
total moment	3.27	μB per formula unit
density of states at the Fermi level	4.1	states/eV per cell
crystal system	cubic
space group	F-43m
ΔE_f	0.30	eV per atom

```
6
Lattice="0.000 3.916 3.916 3.916 0.000 3.916 3.916 3.916 0.000" Properties=species:S:1:pos:R:3 pbc="T T T"
Au 4.897 2.935 4.897
W 0.000 0.000 0.000
Au 4.897 4.897 2.935
Ca 5.874 5.874 5.874
Au 2.935 4.897 4.897
Au 2.935 2.935 2.935
```

PtPbAu2 after structural relaxation, computed with PBE.

Results
total moment	0.00	μB per formula unit
density of states at the Fermi level	2.4	states/eV per cell
crystal system	orthorhombic
space group	Pmmm
ΔE_f	0.09	eV per atom

```
4
Lattice="3.807 0.000 0.000 0.000 4.467 0.000 0.000 0.000 4.628" Properties=species:S:1:pos:R:3 pbc="T T T"
Au 1.903 2.233 0.000
Pt 0.000 2.233 2.314
Au 0.000 0.000 0.000
Pb 1.903 0.000 2.314
```

CoCu2Si after structural relaxation, computed with PBE.

Results
total moment	0.00	μB per formula unit
density of states at the Fermi level	2.0	states/eV per cell
crystal system	orthorhombic
space group	Pmm2
E_tot	-5.285	eV/atom

```
4
Lattice="-1.612 0.022 2.119 2.249 -1.593 1.727 2.098 4.642 1.549" Properties=species:S:1:pos:R:3 pbc="T T T"
Cu 0.002 0.004 0.001
Cu 0.841 0.370 2.309
Co 1.835 2.569 3.042
Si 1.107 2.449 0.817
```

- Number 5 is which compound?
  CoCu2Si

- Number 3 is which compound?
  CaWAu4